The following is a PBE calculation of a geometry-optimized MgScSe2N structure, from the Alexandria database.

Results
- Energy relative to the elements, uncorrected: -1.4 eV/f.u.
- Crystal system: tetragonal
- Energy: -4.916 eV/atom
- ΔE to the lowest computed polymorph: 0.000 eV/f.u.
- Density of states at the Fermi level: 2.70 states/eV/cell
- Symmetry: No. 123
- Total magnetization: 1.9 Bohr magnetons per cell

Cell: 5.2440 5.2440 4.1002 Å, 90.00 90.00 90.00°
Element x y z (fractional)
Mg (0.0000, 0.0000, 0.0000)
Sc (0.5000, 0.5000, 0.5000)
Se (0.0000, 0.5000, 0.5000)
Se (0.5000, 0.0000, 0.5000)
N (0.5000, 0.5000, 0.0000)